Entry 1:
# Nd3ZnAu | Alexandria via LeMat-Bulk | GGA-PBE | optimized geometry
data_Nd3ZnAu
_chemical_formula_sum 'Nd6 Zn2 Au2'
_space_group_name_H-M_alt 'P 1'
_space_group_IT_number 1
_cell_length_a 5.259
_cell_length_b 5.261
_cell_length_c 10.320
_cell_angle_alpha 90.00
_cell_angle_beta 75.24
_cell_angle_gamma 90.00
loop_
_space_group_symop_operation_xyz
'x,y,z'
loop_
_atom_site_label
_atom_site_fract_x
_atom_site_fract_y
_atom_site_fract_z
Nd1 0.755 0.250 0.138
Nd2 0.389 0.250 0.871
Nd3 0.573 0.250 0.503
Nd4 0.260 0.750 0.129
Nd5 0.893 0.750 0.862
Nd6 0.076 0.750 0.497
Zn1 0.478 0.750 0.693
Zn2 0.171 0.250 0.307
Au1 0.662 0.750 0.323
Au2 0.986 0.250 0.677
# **Offset from the most stable computed form**: 0 meV/atom
# **E_form**: -198 kJ/mol of formula units



Entry 2:
# MnFeRe4 | Alexandria via LeMat-Bulk | GGA-PBE | optimized geometry
data_MnFeRe4
_chemical_formula_sum 'Mn1 Fe1 Re4'
_space_group_name_H-M_alt 'P 1'
_space_group_IT_number 1
_cell_length_a 5.131
_cell_length_b 5.131
_cell_length_c 5.131
_cell_angle_alpha 60.00
_cell_angle_beta 60.00
_cell_angle_gamma 60.00
loop_
_space_group_symop_operation_xyz
'x,y,z'
loop_
_atom_site_label
_atom_site_fract_x
_atom_site_fract_y
_atom_site_fract_z
Mn1 0.000 0.000 0.000
Fe1 0.750 0.750 0.750
Re1 0.875 0.375 0.375
Re2 0.375 0.375 0.875
Re3 0.375 0.875 0.375
Re4 0.375 0.375 0.375
# **E_form**: 318 kJ/mol of formula units



Repeat the first record exactly.
# Nd3ZnAu | Alexandria via LeMat-Bulk | GGA-PBE | optimized geometry
data_Nd3ZnAu
_chemical_formula_sum 'Nd6 Zn2 Au2'
_space_group_name_H-M_alt 'P 1'
_space_group_IT_number 1
_cell_length_a 5.259
_cell_length_b 5.261
_cell_length_c 10.320
_cell_angle_alpha 90.00
_cell_angle_beta 75.24
_cell_angle_gamma 90.00
loop_
_space_group_symop_operation_xyz
'x,y,z'
loop_
_atom_site_label
_atom_site_fract_x
_atom_site_fract_y
_atom_site_fract_z
Nd1 0.755 0.250 0.138
Nd2 0.389 0.250 0.871
Nd3 0.573 0.250 0.503
Nd4 0.260 0.750 0.129
Nd5 0.893 0.750 0.862
Nd6 0.076 0.750 0.497
Zn1 0.478 0.750 0.693
Zn2 0.171 0.250 0.307
Au1 0.662 0.750 0.323
Au2 0.986 0.250 0.677
# **Offset from the most stable computed form**: 0 meV/atom
# **E_form**: -198 kJ/mol of formula units